Run A
Below is a relaxed LaYSe2 crystal, with properties calculated at the GGA-PBE level.

Magnetic moment: 0.0 μB per formula unit
Theoretical density: 6.12 g/cm³
SG: C2/m (12)
DOS(E_F): 2.0 states/eV/cell

Structure (POSCAR):
```
LaYSe2
1.0
3.6125 -2.0921 0.0000
3.6125 2.0921 0.0000
-2.4224 0.0000 6.9215
La Y Se
1 1 2
Direct
0.0000 0.0000 0.0000
0.5000 0.5000 0.5000
0.2440 0.2440 0.7319
0.7560 0.7560 0.2681
```

***

Run B
Below is a relaxed LaYSe2 crystal, with properties calculated at the GGA-PBE level.

Magnetic moment: 0.7 μB per formula unit
Theoretical density: 6.66 g/cm³
SG: P4/mmm (123)
DOS(E_F): 3.1 states/eV/cell

Structure (POSCAR):
```
LaYSe2
1.0
3.6343 0.0000 0.0000
0.0000 3.6343 0.0000
0.0000 0.0000 7.2845
La Y Se
1 1 2
Direct
0.0000 0.0000 0.0000
0.0000 0.0000 0.5000
0.5000 0.5000 0.2619
0.5000 0.5000 0.7381
```

***

Run C
Below is a relaxed LaYSe2 crystal, with properties calculated at the GGA-PBE level.

Magnetic moment: 1.2 μB per formula unit
Theoretical density: 3.96 g/cm³
SG: R3m (160)
DOS(E_F): 1.8 states/eV/cell

Structure (POSCAR):
```
LaYSe2
1.0
2.2002 1.2703 9.6491
-2.2002 1.2703 9.6491
0.0000 -2.5405 9.6491
La Y Se
1 1 2
Direct
0.0000 0.0000 0.0000
0.2129 0.2129 0.2129
0.5089 0.5089 0.5089
0.7122 0.7122 0.7122
```

***

Relative calculated energies, zero for the most stable structure, unit kJ/mol of atoms: run A 0.0; run B 25.6; run C 66.3.

***

Run A
Below is a relaxed LaYSe2 crystal, with properties calculated at the GGA-PBE level.

Magnetic moment: 1.2 μB per formula unit
Theoretical density: 6.47 g/cm³
SG: F-43m (216)
DOS(E_F): 3.8 states/eV/cell

Structure (POSCAR):
```
LaYSe2
1.0
0.0000 3.6710 3.6710
3.6710 0.0000 3.6710
3.6710 3.6710 0.0000
La Y Se
1 1 2
Direct
0.0000 0.0000 0.0000
0.2500 0.2500 0.2500
0.5000 0.5000 0.5000
0.7500 0.7500 0.7500
```

***

Run B
Below is a relaxed LaYSe2 crystal, with properties calculated at the GGA-PBE level.

Magnetic moment: 1.0 μB per formula unit
Theoretical density: 6.64 g/cm³
SG: Fm-3m (225)
DOS(E_F): 2.7 states/eV/cell

Structure (POSCAR):
```
LaYSe2
1.0
0.0000 3.6399 3.6399
3.6399 0.0000 3.6399
3.6399 3.6399 0.0000
La Y Se
1 1 2
Direct
0.0000 0.0000 0.0000
0.5000 0.5000 0.5000
0.2500 0.2500 0.2500
0.7500 0.7500 0.7500
```

***

Relative calculated energies, zero for the most stable structure, unit kJ/mol of atoms: run A 98.1; run B 0.0.

***

Run A
Below is a relaxed LaYSe2 crystal, with properties calculated at the GGA-PBE level.

Magnetic moment: 0.0 μB per formula unit
Theoretical density: 4.78 g/cm³
SG: R-3m (166)
DOS(E_F): 1.6 states/eV/cell

Structure (POSCAR):
```
LaYSe2
1.0
2.0691 1.1946 9.0411
-2.0691 1.1946 9.0411
0.0000 -2.3892 9.0411
La Y Se
1 1 2
Direct
0.0000 0.0000 0.0000
0.5000 0.5000 0.5000
0.1084 0.1084 0.1084
0.8916 0.8916 0.8916
```

***

Run B
Below is a relaxed LaYSe2 crystal, with properties calculated at the GGA-PBE level.

Magnetic moment: 0.0 μB per formula unit
Theoretical density: 5.93 g/cm³
SG: Amm2 (38)
DOS(E_F): 2.1 states/eV/cell

Structure (POSCAR):
```
LaYSe2
1.0
4.2551 0.0000 0.0000
0.0000 2.0279 6.2553
0.0000 -2.0279 6.2553
La Y Se
1 1 2
Direct
0.0000 0.0000 0.0000
0.5000 0.7141 0.7141
0.0000 0.2469 0.2469
0.5000 0.4870 0.4870
```

***

Relative calculated energies, zero for the most stable structure, unit kJ/mol of atoms: run A 23.0; run B 0.0.

***

Run A
Below is a relaxed LaYSe2 crystal, with properties calculated at the GGA-PBE level.

Magnetic moment: 0.0 μB per formula unit
Theoretical density: 6.07 g/cm³
SG: P4/mmm (123)
DOS(E_F): 2.3 states/eV/cell

Structure (POSCAR):
```
LaYSe2
1.0
4.2107 0.0000 0.0000
0.0000 4.2107 0.0000
0.0000 0.0000 5.9518
La Y Se
1 1 2
Direct
0.0000 0.0000 0.0000
0.5000 0.5000 0.5000
0.0000 0.0000 0.5000
0.5000 0.5000 0.0000
```

***

Run B
Below is a relaxed LaYSe2 crystal, with properties calculated at the GGA-PBE level.

Magnetic moment: 0.0 μB per formula unit
Theoretical density: 6.04 g/cm³
SG: R3m (160)
DOS(E_F): 1.2 states/eV/cell

Structure (POSCAR):
```
LaYSe2
1.0
2.0514 1.1844 7.2774
-2.0514 1.1844 7.2774
0.0000 -2.3688 7.2774
La Y Se
1 1 2
Direct
0.0000 0.0000 0.0000
0.8236 0.8236 0.8236
0.2389 0.2389 0.2389
0.4186 0.4186 0.4186
```

***

Run C
Below is a relaxed LaYSe2 crystal, with properties calculated at the GGA-PBE level.

Magnetic moment: 0.0 μB per formula unit
Theoretical density: 5.61 g/cm³
SG: I-4m2 (119)
DOS(E_F): 3.1 states/eV/cell

Structure (POSCAR):
```
LaYSe2
1.0
-2.0632 2.0632 6.7063
2.0632 -2.0632 6.7063
2.0632 2.0632 -6.7063
La Y Se
1 1 2
Direct
0.0000 0.0000 0.0000
0.2500 0.7500 0.5000
0.5000 0.5000 0.0000
0.7500 0.2500 0.5000
```

***

Relative calculated energies, zero for the most stable structure, unit kJ/mol of atoms: run A 0.5; run B 0.0; run C 40.7.

***

Run A
Below is a relaxed La3YSe6 crystal, with properties calculated at the GGA-PBE level.

Magnetic moment: 0.0 μB per formula unit
Theoretical density: 4.93 g/cm³
SG: R-3 (148)
DOS(E_F): 0.0 states/eV/cell

Structure (POSCAR):
```
La3YSe6
1.0
6.2333 3.5988 4.8984
-6.2333 3.5988 4.8984
0.0000 -7.1976 4.8984
La Y Se
6 2 12
Direct
0.0699 0.7491 0.5780
0.2509 0.4220 0.9301
0.4220 0.9301 0.2509
0.5780 0.0699 0.7491
0.7491 0.5780 0.0699
0.9301 0.2509 0.4220
0.0000 0.0000 0.0000
0.5000 0.5000 0.5000
0.0406 0.6880 0.9123
0.0877 0.9594 0.3120
0.1909 0.4221 0.5850
0.3120 0.0877 0.9594
0.4150 0.8091 0.5779
0.4221 0.5850 0.1909
0.5779 0.4150 0.8091
0.5850 0.1909 0.4221
0.6880 0.9123 0.0406
0.8091 0.5779 0.4150
0.9123 0.0406 0.6880
0.9594 0.3120 0.0877
```

***

Run B
Below is a relaxed La3YSe6 crystal, with properties calculated at the GGA-PBE level.

Magnetic moment: 0.0 μB per formula unit
Theoretical density: 5.40 g/cm³
SG: P2_1/c (14)
DOS(E_F): 0.0 states/eV/cell

Structure (POSCAR):
```
La3YSe6
1.0
7.1518 0.0000 0.0000
0.0000 7.8563 0.0000
-6.8700 0.0000 10.7299
La Y Se
6 2 12
Direct
0.0000 0.0000 0.0000
0.0000 0.5000 0.5000
0.2950 0.0982 0.7539
0.2950 0.4018 0.2539
0.7050 0.5982 0.7461
0.7050 0.9018 0.2461
0.5000 0.0000 0.5000
0.5000 0.5000 0.0000
0.1019 0.0620 0.2580
0.1019 0.4380 0.7580
0.2626 0.6814 0.0809
0.2626 0.8186 0.5809
0.4089 0.1885 0.0777
0.4089 0.3115 0.5777
0.5911 0.6885 0.4223
0.5911 0.8115 0.9223
0.7374 0.1814 0.4191
0.7374 0.3186 0.9191
0.8981 0.5620 0.2420
0.8981 0.9380 0.7420
```

***

Relative calculated energies, zero for the most stable structure, unit kJ/mol of atoms: run A 0.0; run B 2.4.

***

Run A
Below is a relaxed LaY3Se crystal, with properties calculated at the GGA-PBE level.

Magnetic moment: 0.0 μB per formula unit
Theoretical density: 4.53 g/cm³
SG: Pm-3m (221)
DOS(E_F): 4.9 states/eV/cell

Structure (POSCAR):
```
LaY3Se
1.0
5.6204 0.0000 0.0000
0.0000 5.6204 0.0000
0.0000 0.0000 5.6204
La Y Se
1 3 1
Direct
0.0000 0.0000 0.0000
0.0000 0.0000 0.5000
0.0000 0.5000 0.0000
0.5000 0.0000 0.0000
0.5000 0.5000 0.5000
```

***

Run B
Below is a relaxed LaY3Se crystal, with properties calculated at the GGA-PBE level.

Magnetic moment: 1.3 μB per formula unit
Theoretical density: 4.84 g/cm³
SG: Pm-3m (221)
DOS(E_F): 8.8 states/eV/cell

Structure (POSCAR):
```
LaY3Se
1.0
5.5005 0.0000 0.0000
0.0000 5.5005 0.0000
0.0000 0.0000 5.5005
La Y Se
1 3 1
Direct
0.0000 0.0000 0.0000
0.0000 0.5000 0.5000
0.5000 0.0000 0.5000
0.5000 0.5000 0.0000
0.5000 0.5000 0.5000
```

***

Relative calculated energies, zero for the most stable structure, unit kJ/mol of atoms: run A 121.1; run B 0.0.

***

Run A
Below is a relaxed LaZn3Se crystal, with properties calculated at the GGA-PBE level.

Magnetic moment: 0.0 μB per formula unit
Theoretical density: 5.50 g/cm³
SG: Pm-3m (221)
DOS(E_F): 5.1 states/eV/cell

Structure (POSCAR):
```
LaZn3Se
1.0
4.9997 0.0000 0.0000
0.0000 4.9997 0.0000
0.0000 0.0000 4.9997
La Zn Se
1 3 1
Direct
0.0000 0.0000 0.0000
0.0000 0.5000 0.5000
0.5000 0.0000 0.5000
0.5000 0.5000 0.0000
0.5000 0.5000 0.5000
```

***

Run B
Below is a relaxed LaZn3Se crystal, with properties calculated at the GGA-PBE level.

Magnetic moment: 0.0 μB per formula unit
Theoretical density: 3.58 g/cm³
SG: Pm-3m (221)
DOS(E_F): 4.0 states/eV/cell

Structure (POSCAR):
```
LaZn3Se
1.0
5.7717 0.0000 0.0000
0.0000 5.7717 0.0000
0.0000 0.0000 5.7717
La Zn Se
1 3 1
Direct
0.0000 0.0000 0.0000
0.0000 0.0000 0.5000
0.0000 0.5000 0.0000
0.5000 0.0000 0.0000
0.5000 0.5000 0.5000
```

***

Relative calculated energies, zero for the most stable structure, unit kJ/mol of atoms: run A 0.0; run B 65.6.

***

Run A
Below is a relaxed La2ZnSe crystal, with properties calculated at the GGA-PBE level.

Magnetic moment: 0.0 μB per formula unit
Theoretical density: 5.87 g/cm³
SG: Imm2 (44)
DOS(E_F): 4.9 states/eV/cell

Structure (POSCAR):
```
La2ZnSe
1.0
-1.9279 1.9831 7.8068
1.9279 -1.9831 7.8068
1.9279 1.9831 -7.8068
La Zn Se
2 1 1
Direct
0.0000 0.0000 0.0000
0.7428 0.2428 0.5000
0.4062 0.4062 0.0000
0.1576 0.6576 0.5000
```

***

Run B
Below is a relaxed La2ZnSe crystal, with properties calculated at the GGA-PBE level.

Magnetic moment: 0.0 μB per formula unit
Theoretical density: 5.86 g/cm³
SG: R3m (160)
DOS(E_F): 4.5 states/eV/cell

Structure (POSCAR):
```
La2ZnSe
1.0
2.0728 1.1967 8.0407
-2.0728 1.1967 8.0407
0.0000 -2.3935 8.0407
La Zn Se
2 1 1
Direct
0.0000 0.0000 0.0000
0.1649 0.1649 0.1649
0.5830 0.5830 0.5830
0.4149 0.4149 0.4149
```

***

Relative calculated energies, zero for the most stable structure, unit kJ/mol of atoms: run A 6.1; run B 0.0.

***

Run A
Below is a relaxed La2ZnSe crystal, with properties calculated at the GGA-PBE level.

Magnetic moment: 0.0 μB per formula unit
Theoretical density: 6.12 g/cm³
SG: Cmcm (63)
DOS(E_F): 7.9 states/eV/cell

Structure (POSCAR):
```
La2ZnSe
1.0
2.0941 -12.3196 0.0000
2.0941 12.3196 0.0000
0.0000 0.0000 4.4403
La Zn Se
4 2 2
Direct
0.0695 0.9305 0.7500
0.3143 0.6857 0.7500
0.6857 0.3143 0.2500
0.9305 0.0695 0.2500
0.4636 0.5364 0.7500
0.5364 0.4636 0.2500
0.1919 0.8081 0.7500
0.8081 0.1919 0.2500
```

***

Run B
Below is a relaxed La2ZnSe crystal, with properties calculated at the GGA-PBE level.

Magnetic moment: 0.0 μB per formula unit
Theoretical density: 5.95 g/cm³
SG: P4/mmm (123)
DOS(E_F): 4.1 states/eV/cell

Structure (POSCAR):
```
La2ZnSe
1.0
4.3577 0.0000 0.0000
0.0000 4.3577 0.0000
0.0000 0.0000 6.2004
La Zn Se
2 1 1
Direct
0.0000 0.0000 0.0000
0.5000 0.5000 0.5000
0.0000 0.0000 0.5000
0.5000 0.5000 0.0000
```

***

Run C
Below is a relaxed La2ZnSe crystal, with properties calculated at the GGA-PBE level.

Magnetic moment: 0.0 μB per formula unit
Theoretical density: 6.77 g/cm³
SG: Cmmm (65)
DOS(E_F): 3.4 states/eV/cell

Structure (POSCAR):
```
La2ZnSe
1.0
3.5375 -3.9986 0.0000
3.5375 3.9986 0.0000
0.0000 0.0000 3.6620
La Zn Se
2 1 1
Direct
0.0000 0.5000 0.0000
0.5000 0.0000 0.0000
0.0000 0.0000 0.5000
0.5000 0.5000 0.5000
```

***

Relative calculated energies, zero for the most stable structure, unit kJ/mol of atoms: run A 0.0; run B 5.0; run C 16.2.

***

Run A
Below is a relaxed LaZnSe3 crystal, with properties calculated at the GGA-PBE level.

Magnetic moment: 2.9 μB per formula unit
Theoretical density: 3.68 g/cm³
SG: Pm-3m (221)
DOS(E_F): 5.7 states/eV/cell

Structure (POSCAR):
```
LaZnSe3
1.0
5.8409 0.0000 0.0000
0.0000 5.8409 0.0000
0.0000 0.0000 5.8409
La Zn Se
1 1 3
Direct
0.0000 0.0000 0.0000
0.5000 0.5000 0.5000
0.0000 0.0000 0.5000
0.0000 0.5000 0.0000
0.5000 0.0000 0.0000
```

***

Run B
Below is a relaxed LaZnSe3 crystal, with properties calculated at the GGA-PBE level.

Magnetic moment: 0.0 μB per formula unit
Theoretical density: 6.01 g/cm³
SG: Pm-3m (221)
DOS(E_F): 3.8 states/eV/cell

Structure (POSCAR):
```
LaZnSe3
1.0
4.9597 0.0000 0.0000
0.0000 4.9597 0.0000
0.0000 0.0000 4.9597
La Zn Se
1 1 3
Direct
0.0000 0.0000 0.0000
0.5000 0.5000 0.5000
0.0000 0.5000 0.5000
0.5000 0.0000 0.5000
0.5000 0.5000 0.0000
```

***

Relative calculated energies, zero for the most stable structure, unit kJ/mol of atoms: run A 63.2; run B 0.0.

***

Run A
Below is a relaxed La2ZrSe4 crystal, with properties calculated at the GGA-PBE level.

Magnetic moment: 0.0 μB per formula unit
Theoretical density: 5.72 g/cm³
SG: I4/mmm (139)
DOS(E_F): 5.4 states/eV/cell

Structure (POSCAR):
```
La2ZrSe4
1.0
-2.5473 2.5473 7.6595
2.5473 -2.5473 7.6595
2.5473 2.5473 -7.6595
La Zr Se
2 1 4
Direct
0.1332 0.1332 0.0000
0.8668 0.8668 0.0000
0.5000 0.5000 0.0000
0.0000 0.5000 0.5000
0.3200 0.3200 0.0000
0.5000 0.0000 0.5000
0.6800 0.6800 0.0000
```

***

Run B
Below is a relaxed La2ZrSe4 crystal, with properties calculated at the GGA-PBE level.

Magnetic moment: 0.0 μB per formula unit
Theoretical density: 5.73 g/cm³
SG: P2_1/m (11)
DOS(E_F): 10.7 states/eV/cell

Structure (POSCAR):
```
La2ZrSe4
1.0
7.3257 0.0000 0.0000
0.0000 6.8010 0.0000
-2.2956 0.0000 7.9669
La Zr Se
4 2 8
Direct
0.2212 0.2500 0.0576
0.2289 0.2500 0.5566
0.7711 0.7500 0.4434
0.7788 0.7500 0.9424
0.2602 0.7500 0.8159
0.7398 0.2500 0.1841
0.0133 0.5087 0.2557
0.0133 0.9913 0.2557
0.4549 0.7500 0.6060
0.4594 0.7500 0.1220
0.5406 0.2500 0.8780
0.5451 0.2500 0.3940
0.9867 0.0087 0.7443
0.9867 0.4913 0.7443
```

***

Relative calculated energies, zero for the most stable structure, unit kJ/mol of atoms: run A 4.7; run B 0.0.

***

Run A
Below is a relaxed LaZrSe crystal, with properties calculated at the GGA-PBE level.

Magnetic moment: 0.0 μB per formula unit
Theoretical density: 6.63 g/cm³
SG: I4mm (107)
DOS(E_F): 2.5 states/eV/cell

Structure (POSCAR):
```
LaZrSe
1.0
-1.8138 1.8138 5.8815
1.8138 -1.8138 5.8815
1.8138 1.8138 -5.8815
La Zr Se
1 1 1
Direct
0.0000 0.0000 0.0000
0.6927 0.6927 0.0000
0.2859 0.2859 0.0000
```

***

Run B
Below is a relaxed LaZrSe crystal, with properties calculated at the GGA-PBE level.

Magnetic moment: 0.8 μB per formula unit
Theoretical density: 6.26 g/cm³
SG: P3m1 (156)
DOS(E_F): 1.4 states/eV/cell

Structure (POSCAR):
```
LaZrSe
1.0
3.8334 0.0000 0.0000
-1.9167 3.3198 0.0000
0.0000 0.0000 6.4405
La Zr Se
1 1 1
Direct
0.0000 0.0000 0.0000
0.6667 0.3333 0.5631
0.3333 0.6667 0.3190
```

***

Run C
Below is a relaxed LaZrSe crystal, with properties calculated at the GGA-PBE level.

Magnetic moment: 0.0 μB per formula unit
Theoretical density: 6.41 g/cm³
SG: F-43m (216)
DOS(E_F): 3.3 states/eV/cell

Structure (POSCAR):
```
LaZrSe
1.0
0.0000 3.4211 3.4211
3.4211 0.0000 3.4211
3.4211 3.4211 0.0000
La Zr Se
1 1 1
Direct
0.0000 0.0000 0.0000
0.5000 0.5000 0.5000
0.2500 0.2500 0.2500
```

***

Relative calculated energies, zero for the most stable structure, unit kJ/mol of atoms: run A 1.7; run B 0.0; run C 29.7.